# 1
AcScTl: relaxed, PBE.

## Properties
* space group: P-6m2
* DFT formation energy: -0.16 eV per atom

Lattice parameters (Å, degrees): 5.0716 5.0716 4.3871 90.00 90.00 120.00
Last column: nearest neighbours and their distance in Å.
Element x y z (fractional)
1 Ac 0.0000 0.0000 0.0000  6 Tl 3.66, 6 Sc 3.66
2 Sc 0.3333 0.6667 0.5000  3 Tl 2.93
3 Tl 0.6667 0.3333 0.5000  3 Sc 2.93

=====

# 2
Ti3SiBi: relaxed, PBE.

## Properties
* space group: Pm-3m
* formation energy without anion corrections: 1.282 eV/atom

Lattice parameters (Å, degrees): 5.1335 5.1335 5.1335 90.00 90.00 90.00
Last column: nearest neighbours and their distance in Å.
Element x y z (fractional)
1 Ti 0.0000 0.0000 0.5000  2 Bi 2.57
2 Ti 0.0000 0.5000 0.0000  2 Bi 2.57
3 Ti 0.5000 0.0000 0.0000  2 Bi 2.57
4 Si 0.5000 0.5000 0.5000  12 Ti 3.63
5 Bi 0.0000 0.0000 0.0000  6 Ti 2.57

=====

# 3
MnCo3Rh: relaxed, PBE.

## Properties
* space group: Pm-3m
* DFT formation energy: 1.40 eV per atom

Lattice parameters (Å, degrees): 4.5107 4.5107 4.5107 90.00 90.00 90.00
Last column: nearest neighbours and their distance in Å.
Element x y z (fractional)
1 Mn 0.0000 0.0000 0.0000  12 Co 3.19
2 Co 0.0000 0.5000 0.5000  2 Rh 2.26
3 Co 0.5000 0.0000 0.5000  2 Rh 2.26
4 Co 0.5000 0.5000 0.0000  2 Rh 2.26
5 Rh 0.5000 0.5000 0.5000  6 Co 2.26

=====

What did we get for magnetization? Answer: 0.47, 4.66, 1.59 μB/cell, in the order shown.